w) Computed, not measured: a geometry-optimized CoSb2ICl structure at the GGA-PBE level of DFT.

* D(E_F): 4.5 states/eV/f.u.

Unit cell a=4.949 b=4.949 c=5.319 alpha=90.00 beta=90.00 gamma=90.00
Element x y z (fractional)
I  0.000  0.000  0.500
Sb  0.000  0.500  0.000
Sb  0.500  0.000  0.000
Co  0.000  0.000  0.000
Cl  0.500  0.500  0.500



x) Computed, not measured: a geometry-optimized CoSb2ICl structure at the GGA-PBE level of DFT.

* D(E_F): 8.1 states/eV/f.u.

Unit cell a=5.125 b=5.125 c=6.569 alpha=90.00 beta=90.00 gamma=90.00
Last column: magnetic moment on the atom in μB.
Element x y z (fractional)
I  0.000  0.000  0.500  0.04
Sb  0.000  0.500  0.000  0.01
Sb  0.500  0.000  0.000  0.01
Co  0.500  0.500  0.500  2.24
Cl  0.000  0.000  0.000  0.00



Order from most stable to least stable according to the calculation: w), x)



w) Computed, not measured: a geometry-optimized InCoCl2 structure at the GGA-PBE level of DFT.

* D(E_F): 2.9 states/eV/f.u.

Unit cell a=3.151 b=3.150 c=8.653 alpha=90.00 beta=90.00 gamma=90.00
Last column: magnetic moment on the atom in μB.
Element x y z (fractional)
Cl  0.000  0.000  0.078  0.12
Cl  0.000  0.000  0.422  0.12
Co  0.500  0.500  0.250  2.24
In  0.500  0.500  0.750  -0.01



x) Computed, not measured: a geometry-optimized InCoCl2 structure at the GGA-PBE level of DFT.

* D(E_F): 7.4 states/eV/f.u.

Unit cell a=5.027 b=5.004 c=5.000 alpha=66.08 beta=79.19 gamma=114.12
Last column: magnetic moment on the atom in μB.
Element x y z (fractional)
Cl  0.000  0.000  0.000  0.01
Cl  0.500  0.000  0.500  0.01
Co  0.000  0.500  0.500  1.93
In  0.500  0.500  0.000  -0.01



Order from most stable to least stable according to the calculation: w), x)



w) Computed, not measured: a geometry-optimized InCoCl2 structure at the GGA-PBE level of DFT.

* D(E_F): 3.3 states/eV/f.u.

Unit cell a=4.988 b=4.988 c=4.988 alpha=60.00 beta=60.00 gamma=60.00
Last column: magnetic moment on the atom in μB.
Element x y z (fractional)
Cl  0.000  0.000  0.000  0.04
Cl  0.750  0.750  0.750  -0.03
Co  0.500  0.500  0.500  2.00
In  0.250  0.250  0.250  -0.03



x) Computed, not measured: a geometry-optimized InCoCl2 structure at the GGA-PBE level of DFT.

* D(E_F): 3.1 states/eV/f.u.

Unit cell a=3.348 b=4.460 c=7.109 alpha=74.41 beta=90.00 gamma=90.00
Last column: magnetic moment on the atom in μB.
Element x y z (fractional)
Cl  0.000  0.072  0.905  0.04
Cl  0.500  0.374  0.346  0.10
Co  0.000  0.301  0.580  1.83
In  0.500  0.754  0.669  0.02



y) Computed, not measured: a geometry-optimized InCoCl2 structure at the GGA-PBE level of DFT.

* D(E_F): 3.0 states/eV/f.u.

Unit cell a=6.565 b=6.565 c=6.565 alpha=144.56 beta=144.56 gamma=51.00
Last column: magnetic moment on the atom in μB.
Element x y z (fractional)
Cl  0.000  0.000  0.000  0.01
Cl  0.250  0.750  0.500  0.02
Co  0.500  0.500  0.000  1.96
In  0.750  0.250  0.500  0.01



z) Computed, not measured: a geometry-optimized InCoCl2 structure at the GGA-PBE level of DFT.

* D(E_F): 2.4 states/eV/f.u.

Unit cell a=3.670 b=7.382 c=5.812 alpha=38.31 beta=90.00 gamma=90.00
Last column: magnetic moment on the atom in μB.
Element x y z (fractional)
Cl  0.000  0.000  0.000  0.03
Cl  0.500  0.500  0.000  0.01
Co  0.500  0.500  0.500  1.98
In  0.000  0.000  0.500  0.01



Order from most stable to least stable according to the calculation: x), z), y), w)



w) Computed, not measured: a geometry-optimized In2CoCl structure at the GGA-PBE level of DFT.

* D(E_F): 1.9 states/eV/f.u.

Unit cell a=3.564 b=3.567 c=7.713 alpha=90.00 beta=90.00 gamma=90.00
Last column: magnetic moment on the atom in μB.
Element x y z (fractional)
Cl  0.000  0.000  0.461  0.02
Co  0.500  0.500  0.928  1.27
In  0.000  0.000  0.857  -0.05
In  0.500  0.500  0.254  0.02



x) Computed, not measured: a geometry-optimized In2CoCl structure at the GGA-PBE level of DFT.

* D(E_F): 1.8 states/eV/f.u.

Unit cell a=5.608 b=5.608 c=5.608 alpha=144.65 beta=118.17 gamma=73.28
Last column: magnetic moment on the atom in μB.
Element x y z (fractional)
Cl  0.750  0.250  0.500  0.03
Co  0.250  0.750  0.500  1.57
In  0.027  0.027  0.000  -0.01
In  0.473  0.473  0.000  -0.01



y) Computed, not measured: a geometry-optimized In2CoCl structure at the GGA-PBE level of DFT.

* D(E_F): 9.2 states/eV/f.u.

Unit cell a=4.987 b=4.987 c=4.987 alpha=60.00 beta=60.00 gamma=60.00
Last column: magnetic moment on the atom in μB.
Element x y z (fractional)
Cl  0.500  0.500  0.500  0.05
Co  0.250  0.250  0.250  1.82
In  0.000  0.000  0.000  -0.07
In  0.750  0.750  0.750  0.01



Order from most stable to least stable according to the calculation: w), x), y)